Material: RbBiSe2Br
Method: DFT, GGA-PBE
State: relaxed

```
RbBiSe2Br
1.0
6.021 0.000 0.000
0.000 6.021 0.000
0.000 0.000 5.929
Br Se Bi Rb
1 2 1 1
Cartesian
0.000 0.000 2.964 Br
0.000 3.011 0.000 Se
3.011 0.000 0.000 Se
3.011 3.011 2.964 Bi
0.000 0.000 0.000 Rb
```

Computed properties:
**Total magnetic moment**: 1.03 μB/f.u.
**Formation energy without anion corrections**: 3.23 eV per formula unit
**ρ**: 4.11 g/cm3
**ΔE to the lowest computed polymorph**: 1217 meV/atom
**Crystal system**: tetragonal

---

Material: RbBiSeBr2
Method: DFT, GGA-PBE
State: relaxed

```
RbBiSeBr2
1.0
-1.516 -3.179 -4.788
-2.625 -4.022 3.502
-5.132 3.019 -0.379
Br Se Bi Rb
2 1 1 1
Cartesian
-1.313 -2.011 1.751 Br
-0.758 -1.589 -2.394 Br
-2.566 1.510 -0.190 Se
-4.637 -2.091 -0.833 Bi
0.000 0.000 0.000 Rb
```

Computed properties:
**Total magnetic moment**: 0.00 μB/f.u.
**Formation energy without anion corrections**: 1.62 eV per formula unit
**ρ**: 4.20 g/cm3
**ΔE to the lowest computed polymorph**: 1175 meV/atom
**Crystal system**: tetragonal

---

Material: RbBiSeBr2
Method: DFT, GGA-PBE
State: relaxed

```
RbBiSeBr2
1.0
5.898 0.000 0.000
0.000 5.898 0.000
0.000 0.000 5.561
Br Se Bi Rb
2 1 1 1
Cartesian
0.000 2.949 0.000 Br
2.949 0.000 0.000 Br
0.000 0.000 2.780 Se
0.000 0.000 0.000 Bi
2.949 2.949 2.780 Rb
```

Computed properties:
**Total magnetic moment**: 0.00 μB/f.u.
**Formation energy without anion corrections**: -4.25 eV per formula unit
**ρ**: 4.58 g/cm3
**ΔE to the lowest computed polymorph**: 0 meV/atom
**Crystal system**: tetragonal

---

Material: Rb2BiSeBr3
Method: DFT, GGA-PBE
State: relaxed

```
Rb2BiSeBr3
1.0
5.629 0.000 0.000
0.000 5.849 0.000
-2.814 -2.924 8.734
Rb Bi Se Br
2 1 1 3
Cartesian
2.814 2.924 2.348 Rb
0.000 0.000 6.386 Rb
0.000 0.000 0.000 Bi
2.814 0.000 0.000 Se
0.000 2.924 0.000 Br
0.000 0.000 2.931 Br
2.814 2.924 5.803 Br
```

Computed properties:
**Total magnetic moment**: 0.00 μB/f.u.
**Formation energy without anion corrections**: -7.90 eV per formula unit
**ρ**: 4.03 g/cm3
**Crystal system**: orthorhombic

---

Material: Rb2BiSeBr6
Method: DFT, GGA-PBE
State: relaxed

```
Rb2BiSeBr6
1.0
8.306 0.000 0.000
0.000 8.306 0.000
4.153 4.153 5.581
Br Se Bi Rb
6 1 1 2
Cartesian
4.153 4.153 2.695 Br
8.306 8.306 2.886 Br
2.028 2.028 0.000 Br
6.279 6.279 0.000 Br
6.279 2.028 0.000 Br
2.028 6.279 0.000 Br
4.153 4.153 0.000 Se
0.000 0.000 0.000 Bi
8.306 4.153 2.790 Rb
4.153 8.306 2.790 Rb
```

Computed properties:
**Total magnetic moment**: 0.00 μB/f.u.
**Formation energy without anion corrections**: -8.59 eV per formula unit
**ρ**: 4.05 g/cm3
**Crystal system**: tetragonal

---

Material: Rb2SiBiBr6
Method: DFT, GGA-PBE
State: relaxed

```
Rb2SiBiBr6
1.0
8.011 0.000 0.000
0.000 8.011 0.000
4.005 4.005 5.686
Si Br Bi Rb
1 6 1 2
Cartesian
4.005 4.005 0.000 Si
4.005 4.005 2.719 Br
8.011 8.011 2.967 Br
2.090 2.090 0.000 Br
5.921 5.921 0.000 Br
5.921 2.090 0.000 Br
2.090 5.921 0.000 Br
0.000 0.000 0.000 Bi
8.011 4.005 2.843 Rb
4.005 8.011 2.843 Rb
```

Computed properties:
**Total magnetic moment**: 0.00 μB/f.u.
**Formation energy without anion corrections**: -9.34 eV per formula unit
**ρ**: 4.04 g/cm3
**Crystal system**: tetragonal

---

Material: RbSi2BiBr
Method: DFT, GGA-PBE
State: relaxed

```
RbSi2BiBr
1.0
5.404 0.000 0.000
0.000 6.966 0.000
0.000 0.000 5.404
Si Br Bi Rb
2 1 1 1
Cartesian
0.000 0.000 2.702 Si
2.702 0.000 0.000 Si
0.000 3.483 0.000 Br
0.000 0.000 0.000 Bi
2.702 3.483 2.702 Rb
```

Computed properties:
**Total magnetic moment**: 0.85 μB/f.u.
**Formation energy without anion corrections**: 2.22 eV per formula unit
**ρ**: 3.51 g/cm3
**Crystal system**: tetragonal

---

Material: RbSn2BiBr8
Method: DFT, GGA-PBE
State: relaxed

```
RbSn2BiBr8
1.0
7.365 0.116 0.261
0.169 6.934 0.161
0.340 0.230 9.437
Rb Sn Bi Br
1 2 1 8
Cartesian
0.170 0.115 4.719 Rb
3.893 3.577 7.277 Sn
3.980 3.702 2.583 Sn
0.000 0.000 0.000 Bi
1.437 5.321 2.193 Br
5.124 5.386 0.542 Br
6.376 1.920 2.301 Br
6.436 1.958 7.667 Br
2.750 1.894 9.318 Br
1.498 5.359 7.559 Br
4.892 5.217 4.661 Br
2.982 2.062 5.198 Br
```

Computed properties:
**Total magnetic moment**: 0.00 μB/f.u.
**Formation energy without anion corrections**: -10.84 eV per formula unit
**ρ**: 4.04 g/cm3
**Crystal system**: triclinic